Density functional theory data (PBE-GGA) for a relaxed Ac2Mg6AlAg crystal.

Cell and atoms, written as extended XYZ:
```
20
Lattice="7.854 0.000 0.000 0.000 7.226 0.000 0.000 0.000 9.948" Properties=species:S:1:pos:R:3 pbc="T T T"
Al 3.927 3.008 0.000
Mg 3.927 1.658 7.470
Mg 0.000 5.568 2.496
Mg 5.444 2.898 4.974
Al 0.000 4.218 4.974
Ac 3.927 5.264 7.349
Mg 2.476 0.364 0.000
Mg 6.403 6.862 4.974
Mg 2.410 2.898 4.974
Ag 3.927 0.512 4.974
Ac 3.927 5.264 2.600
Mg 1.517 4.328 0.000
Mg 5.378 0.364 0.000
Mg 3.927 1.658 2.478
Mg 0.000 5.568 7.452
Ag 0.000 6.714 0.000
Mg 1.451 6.862 4.974
Ac 0.000 1.962 2.374
Mg 6.337 4.328 0.000
Ac 0.000 1.962 7.574
```

Properties
ΔE_f	-32	meV per atom
DFT total energy	-2.4699	eV per atom